# 1
# Zn2CuW

A geometry-optimized Zn2CuW structure (PBE-GGA, Alexandria).

Computed properties:
Its magnetization is 0.00 μB/cell. The relative energy among the computed polymorphs comes out at 90 meV/atom. The value obtained for the formation energy is 0.194 eV/atom.

Cell and atoms, written as CIF:
```
data_Zn2CuW
_symmetry_space_group_name_H-M 'C 1 2/m 1'
_symmetry_Int_Tables_number 12
_symmetry_space_group_name_Hall '-C 2y'
_cell_length_a 5.4215
_cell_length_b 8.4538
_cell_length_c 2.5761
_cell_angle_alpha 90.00
_cell_angle_beta 103.40
_cell_angle_gamma 90.00
loop_
_atom_site_label
_atom_site_fract_x
_atom_site_fract_y
_atom_site_fract_z
Zn1 0.2500 0.2500 0.0000
Cu1 0.0000 0.0000 0.5000
W1 0.0000 0.5000 0.5000
```

=====

# 2
# Gd2ErIn

A geometry-optimized Gd2ErIn structure (PBE-GGA, Alexandria).

Computed properties:
Its magnetization is 15.51 μB/cell. The relative energy among the computed polymorphs comes out at 0 meV/atom. The value obtained for the formation energy is -0.290 eV/atom.

Cell and atoms, written as CIF:
```
data_Gd2ErIn
_symmetry_space_group_name_H-M 'P 4/m m m'
_symmetry_Int_Tables_number 123
_symmetry_space_group_name_Hall '-P 4 2'
_cell_length_a 4.8317
_cell_length_b 4.8317
_cell_length_c 4.8942
_cell_angle_alpha 90.00
_cell_angle_beta 90.00
_cell_angle_gamma 90.00
loop_
_atom_site_label
_atom_site_fract_x
_atom_site_fract_y
_atom_site_fract_z
Gd1 0.0000 0.5000 0.0000
Er1 0.0000 0.0000 0.5000
In1 0.5000 0.5000 0.5000
```

=====

# 3
# Eu2PuO4

A geometry-optimized Eu2PuO4 structure (PBE-GGA, Alexandria).

Computed properties:
Its magnetization is 36.00 μB/cell. The uncorrected formation energy is -2801 meV per atom.

Cell and atoms, written as CIF:
```
data_Eu2PuO4
_symmetry_space_group_name_H-M 'I 4/m m m'
_symmetry_Int_Tables_number 139
_symmetry_space_group_name_Hall '-I 4 2'
_cell_length_a 4.3621
_cell_length_b 4.3621
_cell_length_c 12.6290
_cell_angle_alpha 90.00
_cell_angle_beta 90.00
_cell_angle_gamma 90.00
loop_
_atom_site_label
_atom_site_fract_x
_atom_site_fract_y
_atom_site_fract_z
Eu1 0.0000 0.0000 0.1455
Pu1 0.0000 0.0000 0.5000
O1 0.0000 0.0000 0.3241
O2 0.0000 0.5000 0.0000
```

=====

# 4
# BeCu2IrW

A geometry-optimized BeCu2IrW structure (PBE-GGA, Alexandria).

Computed properties:
Its magnetization is 2.89 μB/cell. The value obtained for the formation energy is 1.467 eV/atom.

Cell and atoms, written as CIF:
```
data_BeCu2IrW
_symmetry_space_group_name_H-M 'P 4/m m m'
_symmetry_Int_Tables_number 123
_symmetry_space_group_name_Hall '-P 4 2'
_cell_length_a 4.5850
_cell_length_b 4.5850
_cell_length_c 3.9829
_cell_angle_alpha 90.00
_cell_angle_beta 90.00
_cell_angle_gamma 90.00
loop_
_atom_site_label
_atom_site_fract_x
_atom_site_fract_y
_atom_site_fract_z
Be1 0.0000 0.0000 0.0000
Cu1 0.0000 0.5000 0.5000
Ir1 0.0000 0.0000 0.5000
W1 0.5000 0.5000 0.0000
```

=====

# 5
# CaSiW2

A geometry-optimized CaSiW2 structure (PBE-GGA, Alexandria).

Computed properties:
Its magnetization is 0.00 μB/cell. The uncorrected formation energy is 583 meV per atom.

Cell and atoms, written as CIF:
```
data_CaSiW2
_symmetry_space_group_name_H-M 'P 1 2/m 1'
_symmetry_Int_Tables_number 10
_symmetry_space_group_name_Hall '-P 2y'
_cell_length_a 2.8208
_cell_length_b 4.8893
_cell_length_c 5.1882
_cell_angle_alpha 90.00
_cell_angle_beta 92.78
_cell_angle_gamma 90.00
loop_
_atom_site_label
_atom_site_fract_x
_atom_site_fract_y
_atom_site_fract_z
Ca1 0.0000 0.0000 0.0000
Si1 0.5000 0.0000 0.5000
W1 0.3638 0.5000 0.7455
```

=====

# 6
# MgTi2RhN

A geometry-optimized MgTi2RhN structure (PBE-GGA, Alexandria).

Computed properties:
Its magnetization is 0.00 μB/cell. The uncorrected formation energy is -800 meV per atom.

Cell and atoms, written as CIF:
```
data_MgTi2RhN
_symmetry_space_group_name_H-M 'P 4/m m m'
_symmetry_Int_Tables_number 123
_symmetry_space_group_name_Hall '-P 4 2'
_cell_length_a 4.0979
_cell_length_b 4.0979
_cell_length_c 4.1309
_cell_angle_alpha 90.00
_cell_angle_beta 90.00
_cell_angle_gamma 90.00
loop_
_atom_site_label
_atom_site_fract_x
_atom_site_fract_y
_atom_site_fract_z
Mg1 0.0000 0.0000 0.0000
Ti1 0.0000 0.5000 0.5000
Rh1 0.5000 0.5000 0.0000
N1 0.0000 0.0000 0.5000
```

=====

# 7
# Li2La3In5

A geometry-optimized Li2La3In5 structure (PBE-GGA, Alexandria).

Computed properties:
Its magnetization is 0.00 μB/cell. The value obtained for the formation energy is -0.451 eV/atom.

Cell and atoms, written as CIF:
```
data_Li2La3In5
_symmetry_space_group_name_H-M 'P 4/m b m'
_symmetry_Int_Tables_number 127
_symmetry_space_group_name_Hall '-P 4 2ab'
_cell_length_a 10.7860
_cell_length_b 10.7860
_cell_length_c 4.5017
_cell_angle_alpha 90.00
_cell_angle_beta 90.00
_cell_angle_gamma 90.00
loop_
_atom_site_label
_atom_site_fract_x
_atom_site_fract_y
_atom_site_fract_z
Li1 0.1164 0.3836 0.0000
La1 0.0000 0.0000 0.0000
La2 0.1767 0.6767 0.0000
In1 0.0000 0.5000 0.5000
In2 0.0700 0.2215 0.5000
```

=====

# 8
# MnW2Au

A geometry-optimized MnW2Au structure (PBE-GGA, Alexandria).

Computed properties:
Its magnetization is 1.02 μB/cell. The relative energy among the computed polymorphs comes out at 90 meV/atom. The value obtained for the formation energy is 0.312 eV/atom.

Cell and atoms, written as CIF:
```
data_MnW2Au
_symmetry_space_group_name_H-M 'P 1 2/m 1'
_symmetry_Int_Tables_number 10
_symmetry_space_group_name_Hall '-P 2y'
_cell_length_a 2.7556
_cell_length_b 4.0536
_cell_length_c 5.5344
_cell_angle_alpha 90.00
_cell_angle_beta 96.57
_cell_angle_gamma 90.00
loop_
_atom_site_label
_atom_site_fract_x
_atom_site_fract_y
_atom_site_fract_z
Mn1 0.0000 0.0000 0.0000
W1 0.4391 0.5000 0.2241
Au1 0.0000 0.0000 0.5000
```

=====

# 9
# Sr2Hg5Pd3

A geometry-optimized Sr2Hg5Pd3 structure (PBE-GGA, Alexandria).

Computed properties:
Its magnetization is 0.00 μB/cell. The value obtained for the formation energy is -0.420 eV/atom.

Cell and atoms, written as CIF:
```
data_Sr2Hg5Pd3
_symmetry_space_group_name_H-M 'I b a m'
_symmetry_Int_Tables_number 72
_symmetry_space_group_name_Hall '-I 2 2c'
_cell_length_a 10.8941
_cell_length_b 14.5203
_cell_length_c 6.1212
_cell_angle_alpha 90.00
_cell_angle_beta 90.00
_cell_angle_gamma 90.00
loop_
_atom_site_label
_atom_site_fract_x
_atom_site_fract_y
_atom_site_fract_z
Sr1 0.2117 0.1538 0.0000
Hg1 0.0000 0.0000 0.2500
Hg2 0.0000 0.3059 0.2500
Hg3 0.1947 0.4306 0.0000
Pd1 0.0000 0.5000 0.2500
Pd2 0.0830 0.1566 0.5000
```

=====

# 10
# CaTlBr2F

A geometry-optimized CaTlBr2F structure (PBE-GGA, Alexandria).

Computed properties:
Its magnetization is 0.00 μB/cell. The uncorrected formation energy is -2073 meV per atom. The relative energy among the computed polymorphs comes out at 0 meV/atom.

Cell and atoms, written as CIF:
```
data_CaTlBr2F
_symmetry_space_group_name_H-M 'P 4/m m m'
_symmetry_Int_Tables_number 123
_symmetry_space_group_name_Hall '-P 4 2'
_cell_length_a 5.8559
_cell_length_b 5.8559
_cell_length_c 4.3376
_cell_angle_alpha 90.00
_cell_angle_beta 90.00
_cell_angle_gamma 90.00
loop_
_atom_site_label
_atom_site_fract_x
_atom_site_fract_y
_atom_site_fract_z
Ca1 0.0000 0.0000 0.0000
Tl1 0.5000 0.5000 0.5000
Br1 0.0000 0.5000 0.0000
F1 0.0000 0.0000 0.5000
```

=====

# 11
# NaLiZn3

A geometry-optimized NaLiZn3 structure (PBE-GGA, Alexandria).

Computed properties:
Its magnetization is 0.00 μB/cell. The relative energy among the computed polymorphs comes out at 0 meV/atom. The value obtained for the formation energy is -0.037 eV/atom.

Cell and atoms, written as CIF:
```
data_NaLiZn3
_symmetry_space_group_name_H-M 'R -3 m'
_symmetry_Int_Tables_number 166
_symmetry_space_group_name_Hall '-R 3 2"'
_cell_length_a 5.3897
_cell_length_b 5.3897
_cell_length_c 22.6915
_cell_angle_alpha 90.00
_cell_angle_beta 90.00
_cell_angle_gamma 120.00
loop_
_atom_site_label
_atom_site_fract_x
_atom_site_fract_y
_atom_site_fract_z
Na1 0.0000 0.0000 0.1664
Li1 0.0000 0.0000 0.4017
Zn1 0.0042 0.5021 0.3816
```

=====

# 12
# LiPm2TmSe4

A geometry-optimized LiPm2TmSe4 structure (PBE-GGA, Alexandria).

Computed properties:
Its magnetization is 0.00 μB/cell. The uncorrected formation energy is -1747 meV per atom.

Cell and atoms, written as CIF:
```
data_LiPm2TmSe4
_symmetry_space_group_name_H-M 'P 1 2/m 1'
_symmetry_Int_Tables_number 10
_symmetry_space_group_name_Hall '-P 2y'
_cell_length_a 7.0655
_cell_length_b 4.0878
_cell_length_c 7.1209
_cell_angle_alpha 90.00
_cell_angle_beta 109.24
_cell_angle_gamma 90.00
loop_
_atom_site_label
_atom_site_fract_x
_atom_site_fract_y
_atom_site_fract_z
Li1 0.0000 0.0000 0.0000
Pm1 0.0000 0.5000 0.5000
Pm2 0.5000 0.0000 0.5000
Tm1 0.5000 0.5000 0.0000
Se1 0.2424 0.5000 0.2323
Se2 0.2520 0.0000 0.7683
```

=====

# 13
# Ce2YBe

A geometry-optimized Ce2YBe structure (PBE-GGA, Alexandria).

Computed properties:
Its magnetization is 2.49 μB/cell. The value obtained for the formation energy is 0.737 eV/atom.

Cell and atoms, written as CIF:
```
data_Ce2YBe
_symmetry_space_group_name_H-M 'R -3 m'
_symmetry_Int_Tables_number 166
_symmetry_space_group_name_Hall '-R 3 2"'
_cell_length_a 3.1803
_cell_length_b 3.1803
_cell_length_c 35.4681
_cell_angle_alpha 90.00
_cell_angle_beta 90.00
_cell_angle_gamma 120.00
loop_
_atom_site_label
_atom_site_fract_x
_atom_site_fract_y
_atom_site_fract_z
Ce1 0.0000 0.0000 0.0819
Y1 0.0000 0.0000 0.5000
Be1 0.0000 0.0000 0.0000
```

=====

# 14
# AcMnGe2Os

A geometry-optimized AcMnGe2Os structure (PBE-GGA, Alexandria).

Computed properties:
Its magnetization is 5.35 μB/cell. The value obtained for the formation energy is -0.408 eV/atom.

Cell and atoms, written as CIF:
```
data_AcMnGe2Os
_symmetry_space_group_name_H-M 'I -4 m 2'
_symmetry_Int_Tables_number 119
_symmetry_space_group_name_Hall 'I -4 -2'
_cell_length_a 4.2087
_cell_length_b 4.2087
_cell_length_c 11.2046
_cell_angle_alpha 90.00
_cell_angle_beta 90.00
_cell_angle_gamma 90.00
loop_
_atom_site_label
_atom_site_fract_x
_atom_site_fract_y
_atom_site_fract_z
Ac1 0.0000 0.0000 0.0000
Mn1 0.0000 0.5000 0.7500
Ge1 0.0000 0.0000 0.3695
Os1 0.0000 0.5000 0.2500
```

=====

# 15
# BeNbRe

A geometry-optimized BeNbRe structure (PBE-GGA, Alexandria).

Computed properties:
Its magnetization is 0.00 μB/cell. The relative energy among the computed polymorphs comes out at 103 meV/atom. The value obtained for the formation energy is -0.183 eV/atom.

Cell and atoms, written as CIF:
```
data_BeNbRe
_symmetry_space_group_name_H-M 'C m c m'
_symmetry_Int_Tables_number 63
_symmetry_space_group_name_Hall '-C 2c 2'
_cell_length_a 3.5897
_cell_length_b 9.0121
_cell_length_c 5.2144
_cell_angle_alpha 90.00
_cell_angle_beta 90.00
_cell_angle_gamma 90.00
loop_
_atom_site_label
_atom_site_fract_x
_atom_site_fract_y
_atom_site_fract_z
Be1 0.0000 0.1026 0.2500
Nb1 0.0000 0.1956 0.7500
Re1 0.0000 0.5000 0.0000
```

=====

# 16
# PmScZnPt

A geometry-optimized PmScZnPt structure (PBE-GGA, Alexandria).

Computed properties:
Its magnetization is 0.00 μB/cell. The value obtained for the formation energy is -0.701 eV/atom.

Cell and atoms, written as CIF:
```
data_PmScZnPt
_symmetry_space_group_name_H-M 'F -4 3 m'
_symmetry_Int_Tables_number 216
_symmetry_space_group_name_Hall 'F -4 2 3'
_cell_length_a 6.9625
_cell_length_b 6.9625
_cell_length_c 6.9625
_cell_angle_alpha 90.00
_cell_angle_beta 90.00
_cell_angle_gamma 90.00
loop_
_atom_site_label
_atom_site_fract_x
_atom_site_fract_y
_atom_site_fract_z
Pm1 0.0000 0.0000 0.0000
Sc1 0.0000 0.0000 0.5000
Zn1 0.2500 0.2500 0.7500
Pt1 0.2500 0.2500 0.2500
```

=====

# 17
# CdGaAs2

A geometry-optimized CdGaAs2 structure (PBE-GGA, Alexandria).

Computed properties:
Its magnetization is 0.00 μB/cell. The relative energy among the computed polymorphs comes out at 289 meV/atom. The value obtained for the formation energy is 0.199 eV/atom.

Cell and atoms, written as CIF:
```
data_CdGaAs2
_symmetry_space_group_name_H-M 'R -3 m'
_symmetry_Int_Tables_number 166
_symmetry_space_group_name_Hall '-R 3 2"'
_cell_length_a 3.1537
_cell_length_b 3.1537
_cell_length_c 30.7370
_cell_angle_alpha 90.00
_cell_angle_beta 90.00
_cell_angle_gamma 120.00
loop_
_atom_site_label
_atom_site_fract_x
_atom_site_fract_y
_atom_site_fract_z
Cd1 0.0000 0.0000 0.0000
Ga1 0.0000 0.0000 0.5000
As1 0.0000 0.0000 0.1031
```

=====

# 18
# LiAcZn3

A geometry-optimized LiAcZn3 structure (PBE-GGA, Alexandria).

Computed properties:
Its magnetization is 0.00 μB/cell. The relative energy among the computed polymorphs comes out at 119 meV/atom. The value obtained for the formation energy is -0.095 eV/atom.

Cell and atoms, written as CIF:
```
data_LiAcZn3
_symmetry_space_group_name_H-M 'P m -3 m'
_symmetry_Int_Tables_number 221
_symmetry_space_group_name_Hall '-P 4 2 3'
_cell_length_a 4.7655
_cell_length_b 4.7655
_cell_length_c 4.7655
_cell_angle_alpha 90.00
_cell_angle_beta 90.00
_cell_angle_gamma 90.00
loop_
_atom_site_label
_atom_site_fract_x
_atom_site_fract_y
_atom_site_fract_z
Li1 0.0000 0.0000 0.0000
Ac1 0.5000 0.5000 0.5000
Zn1 0.0000 0.0000 0.5000
```

=====

# 19
# RbSi2H

A geometry-optimized RbSi2H structure (PBE-GGA, Alexandria).

Computed properties:
Its magnetization is 0.00 μB/cell. The relative energy among the computed polymorphs comes out at 879 meV/atom.

Cell and atoms, written as CIF:
```
data_RbSi2H
_symmetry_space_group_name_H-M 'F m -3 m'
_symmetry_Int_Tables_number 225
_symmetry_space_group_name_Hall '-F 4 2 3'
_cell_length_a 7.0783
_cell_length_b 7.0783
_cell_length_c 7.0783
_cell_angle_alpha 90.00
_cell_angle_beta 90.00
_cell_angle_gamma 90.00
loop_
_atom_site_label
_atom_site_fract_x
_atom_site_fract_y
_atom_site_fract_z
Rb1 0.0000 0.0000 0.0000
Si1 0.2500 0.2500 0.2500
H1 0.0000 0.0000 0.5000
```

=====

# 20
# SbPbAu2

A geometry-optimized SbPbAu2 structure (PBE-GGA, Alexandria).

Computed properties:
Its magnetization is 0.00 μB/cell. The uncorrected formation energy is 166 meV per atom.

Cell and atoms, written as CIF:
```
data_SbPbAu2
_symmetry_space_group_name_H-M 'F -4 3 m'
_symmetry_Int_Tables_number 216
_symmetry_space_group_name_Hall 'F -4 2 3'
_cell_length_a 7.2341
_cell_length_b 7.2341
_cell_length_c 7.2341
_cell_angle_alpha 90.00
_cell_angle_beta 90.00
_cell_angle_gamma 90.00
loop_
_atom_site_label
_atom_site_fract_x
_atom_site_fract_y
_atom_site_fract_z
Sb1 0.0000 0.0000 0.0000
Pb1 0.2500 0.2500 0.2500
Au1 0.0000 0.0000 0.5000
Au2 0.2500 0.2500 0.7500
```